Tl2Zn3MoF12, relaxed, DFT PBE+U; density of states at the Fermi level = 7.05 states/eV/f.u.; space group = No. 166; total magnetic moment = 2.00 μB/f.u.; E_tot = -4.35 eV per atom
1.0
7.7721 0.2420 0.1716
4.0487 6.6387 0.1716
4.0487 2.3567 6.2087
Tl Zn Mo F
2 3 1 12
direct
0.5915 0.5915 0.5915 Tl
0.4085 0.4085 0.4085 Tl
0.5000 0.0000 0.0000 Zn
0.0000 0.5000 0.0000 Zn
0.0000 0.0000 0.5000 Zn
0.0000 0.0000 0.0000 Mo
0.3228 0.3228 0.9174 F
0.9275 0.9275 0.3165 F
0.3165 0.9275 0.9275 F
0.9174 0.3228 0.3228 F
0.9275 0.3165 0.9275 F
0.3228 0.9174 0.3228 F
0.6772 0.6772 0.0826 F
0.0725 0.0725 0.6835 F
0.6835 0.0725 0.0725 F
0.0826 0.6772 0.6772 F
0.0725 0.6835 0.0725 F
0.6772 0.0826 0.6772 F